Entry 1:
{
  "formula": "Sr6P3O",
  "functional": "PBE",
  "state": "optimized geometry",
  "final_energy_ev_per_atom": -4.42,
  "vol_a3_per_atom": 31.628,
  "total_magnetization_mub_per_fu": 0.6,
  "lattice_angstrom": [[-0.1135, 3.9116, 6.0198], [-8.1099, -4.2177, 2.5877], [6.5890, -5.6814, 3.8160]],
  "species": ["P", "P", "P", "P", "P", "P", "Sr", "Sr", "Sr", "Sr", "Sr", "Sr", "Sr", "Sr", "Sr", "Sr", "Sr", "Sr", "O", "O"],
  "fractional_positions": [[0.9194, 0.6135, 0.3865], [0.9719, 0.0753, 0.2877], [0.4719, 0.2877, 0.0753], [0.9719, 0.7123, 0.9247], [0.4194, 0.3865, 0.6135], [0.4719, 0.9247, 0.7123], [0.1996, 0.3594, 0.3207], [0.1850, 0.7842, 0.2158], [0.6658, 0.9551, 0.0449], [0.1658, 0.0449, 0.9551], [0.6996, 0.3207, 0.3594], [0.6774, 0.5838, 0.1125], [0.6996, 0.6406, 0.6793], [0.6774, 0.8875, 0.4162], [0.1774, 0.4162, 0.8875], [0.6850, 0.2158, 0.7842], [0.1996, 0.6793, 0.6406], [0.1774, 0.1125, 0.5838], [0.5175, 0.8114, 0.1886], [0.0175, 0.1886, 0.8114]]
}


Entry 2:
{
  "formula": "SrP2O2",
  "functional": "PBE",
  "state": "optimized geometry",
  "de_polymorph_ev_per_atom": 0.000,
  "final_energy_ev_per_atom": -5.32,
  "vol_a3_per_atom": 14.348,
  "total_magnetization_mub_per_fu": 0.0,
  "lattice_angstrom": [[4.0024, 0.0000, 0.0000], [0.0000, 4.0024, 0.0000], [0.0000, 0.0000, 4.4784]],
  "species": ["P", "P", "O", "O", "Sr"],
  "fractional_positions": [[0.0000, 0.0000, 0.0000], [0.0000, 0.0000, 0.5000], [0.0000, 0.5000, 0.0000], [0.5000, 0.0000, 0.0000], [0.5000, 0.5000, 0.5000]]
}


Entry 3:
{
  "formula": "SrP2O6",
  "functional": "PBE",
  "state": "optimized geometry",
  "final_energy_ev_per_atom": -7.02,
  "vol_a3_per_atom": 15.235,
  "total_magnetization_mub_per_fu": 0.0,
  "lattice_angstrom": [[-3.3549, -2.0500, 0.8335], [4.0143, -0.8673, 4.3351], [-2.7873, 5.2848, 1.7791]],
  "species": ["O", "O", "O", "O", "O", "O", "P", "P", "Sr"],
  "fractional_positions": [[0.2430, 0.4860, 0.9043], [0.1388, 0.2777, 0.2469], [0.3780, 0.7559, 0.3163], [0.8612, 0.7223, 0.7531], [0.6220, 0.2441, 0.6837], [0.7570, 0.5140, 0.0957], [0.7476, 0.4952, 0.8359], [0.2524, 0.5048, 0.1641], [0.0000, 0.0000, 0.5000]]
}


Entry 4:
{
  "formula": "SrPO3",
  "functional": "PBE",
  "state": "optimized geometry",
  "final_energy_ev_per_atom": -6.33,
  "vol_a3_per_atom": 10.771,
  "total_magnetization_mub_per_fu": 0.0,
  "lattice_angstrom": [[3.7764, 0.0000, 0.0000], [0.0000, 3.7764, 0.0000], [0.0000, 0.0000, 3.7764]],
  "species": ["Sr", "P", "O", "O", "O"],
  "fractional_positions": [[0.5000, 0.5000, 0.5000], [0.0000, 0.0000, 0.0000], [0.5000, 0.0000, 0.0000], [0.0000, 0.0000, 0.5000], [0.0000, 0.5000, 0.0000]]
}


Entry 5:
{
  "formula": "Sr4P2O",
  "functional": "PBE",
  "state": "optimized geometry",
  "de_polymorph_ev_per_atom": 0.005,
  "final_energy_ev_per_atom": -4.76,
  "vol_a3_per_atom": 26.790,
  "total_magnetization_mub_per_fu": 0.0,
  "lattice_angstrom": [[-1.6216, -2.9829, -3.4417], [-2.3622, -2.5727, 3.3427], [-8.4544, 1.8739, -1.0362]],
  "species": ["Sr", "Sr", "Sr", "Sr", "O", "P", "P"],
  "fractional_positions": [[0.5000, 0.0000, 0.0000], [0.8242, 0.8242, 0.3516], [0.1758, 0.1758, 0.6484], [0.0000, 0.5000, 0.0000], [0.0000, 0.0000, 0.0000], [0.3648, 0.3648, 0.2703], [0.6352, 0.6352, 0.7297]]
}


Entry 6:
{
  "formula": "Sr4P2O",
  "functional": "PBE",
  "state": "optimized geometry",
  "de_polymorph_ev_per_atom": 0.000,
  "final_energy_ev_per_atom": -4.76,
  "vol_a3_per_atom": 26.937,
  "total_magnetization_mub_per_fu": 0.0,
  "lattice_angstrom": [[6.2961, 0.0000, -2.5675], [0.0000, 7.0005, 0.0000], [-0.1564, 0.0000, 8.6200]],
  "species": ["Sr", "Sr", "Sr", "Sr", "Sr", "Sr", "Sr", "Sr", "P", "P", "P", "P", "O", "O"],
  "fractional_positions": [[0.2628, 0.7500, 0.0256], [0.2372, 0.2500, 0.9744], [0.6762, 0.4491, 0.3524], [0.8238, 0.9491, 0.6476], [0.3238, 0.5509, 0.6476], [0.7372, 0.2500, 0.9744], [0.1762, 0.0509, 0.3524], [0.7628, 0.7500, 0.0256], [0.3652, 0.9843, 0.7303], [0.8652, 0.5157, 0.7303], [0.6348, 0.0157, 0.2697], [0.1348, 0.4843, 0.2697], [0.0000, 0.0000, 0.0000], [0.5000, 0.5000, 0.0000]]
}


Entry 7:
{
  "formula": "SrP2O",
  "functional": "PBE",
  "state": "optimized geometry",
  "final_energy_ev_per_atom": -4.91,
  "vol_a3_per_atom": 20.264,
  "total_magnetization_mub_per_fu": 0.0,
  "lattice_angstrom": [[4.9813, 0.0000, 0.0000], [0.0000, 4.9813, 0.0000], [2.4906, 2.4906, 6.5334]],
  "species": ["O", "O", "P", "P", "P", "P", "Sr", "Sr"],
  "fractional_positions": [[0.2500, 0.7500, 0.5000], [0.5000, 0.5000, 0.0000], [0.8750, 0.6249, 0.7500], [0.3750, 0.6251, 0.7500], [0.3749, 0.1250, 0.2500], [0.3751, 0.6250, 0.2500], [0.7500, 0.2500, 0.5000], [0.0000, 0.0000, 0.0000]]
}


Entry 8:
{
  "formula": "SrTaPO2",
  "functional": "PBE",
  "state": "optimized geometry",
  "de_polymorph_ev_per_atom": 0.000,
  "final_energy_ev_per_atom": -7.79,
  "vol_a3_per_atom": 16.832,
  "total_magnetization_mub_per_fu": 0.0,
  "lattice_angstrom": [[-1.7641, -0.9973, 3.5474], [-1.0325, -3.6416, -1.5373], [4.3658, -1.9257, 1.6297]],
  "species": ["Sr", "P", "O", "O", "Ta"],
  "fractional_positions": [[0.5000, 0.5000, 0.5000], [0.0000, 0.0000, 0.5000], [0.5000, 0.0000, 0.0000], [0.0000, 0.5000, 0.0000], [0.0000, 0.0000, 0.0000]]
}


Entry 9:
{
  "formula": "SrTaPO2",
  "functional": "PBE",
  "state": "optimized geometry",
  "de_polymorph_ev_per_atom": 2.505,
  "final_energy_ev_per_atom": -5.29,
  "vol_a3_per_atom": 19.925,
  "total_magnetization_mub_per_fu": 1.6,
  "lattice_angstrom": [[4.0942, 0.0000, 0.0000], [0.0000, 4.0942, 0.0000], [0.0000, 0.0000, 5.9432]],
  "species": ["Ta", "O", "O", "P", "Sr"],
  "fractional_positions": [[0.5000, 0.5000, 0.5000], [0.5000, 0.0000, 0.0000], [0.0000, 0.5000, 0.0000], [0.0000, 0.0000, 0.5000], [0.0000, 0.0000, 0.0000]]
}


Entry 10:
{
  "formula": "Sr4Ta3PO14",
  "functional": "PBE",
  "state": "optimized geometry",
  "final_energy_ev_per_atom": -8.20,
  "vol_a3_per_atom": 13.968,
  "total_magnetization_mub_per_fu": 0.0,
  "lattice_angstrom": [[7.1664, -10.9460, 3.6444], [8.3784, -10.6884, -0.1198], [4.6737, 2.9722, 1.7081]],
  "species": ["O", "O", "O", "O", "O", "O", "O", "O", "O", "O", "O", "O", "O", "O", "Ta", "Ta", "Ta", "Sr", "Sr", "Sr", "Sr", "P"],
  "fractional_positions": [[0.1985, 0.1985, 0.5482], [0.9041, 0.9041, 0.5102], [0.7917, 0.7917, 0.5456], [0.0092, 0.0092, 0.3862], [0.1005, 0.1005, 0.8964], [0.4527, 0.4527, 0.2010], [0.8963, 0.8963, 0.9986], [0.1083, 0.1083, 0.3911], [0.9953, 0.9953, 0.9004], [0.3476, 0.3476, 0.7641], [0.1996, 0.1996, 0.1009], [0.6602, 0.6602, 0.2985], [0.7870, 0.7870, 0.0235], [0.5488, 0.5488, 0.6497], [0.8364, 0.8364, 0.7759], [0.0536, 0.0536, 0.6819], [0.9459, 0.9459, 0.2276], [0.2852, 0.2852, 0.2928], [0.5689, 0.5689, 0.1880], [0.6995, 0.6995, 0.8417], [0.4436, 0.4436, 0.7407], [0.1673, 0.1673, 0.3374]]
}


Entry 11:
{
  "formula": "SrTaP2O",
  "functional": "PBE",
  "state": "optimized geometry",
  "de_polymorph_ev_per_atom": 0.000,
  "final_energy_ev_per_atom": -7.06,
  "vol_a3_per_atom": 19.939,
  "total_magnetization_mub_per_fu": 0.0,
  "lattice_angstrom": [[5.0060, 0.0000, 0.0000], [0.0000, 5.0060, 0.0000], [0.0000, 0.0000, 3.9782]],
  "species": ["O", "Ta", "P", "P", "Sr"],
  "fractional_positions": [[0.0000, 0.0000, 0.5000], [0.0000, 0.0000, 0.0000], [0.5000, 0.0000, 0.0000], [0.0000, 0.5000, 0.0000], [0.5000, 0.5000, 0.5000]]
}


Entry 12:
{
  "formula": "SrTaP2O",
  "functional": "PBE",
  "state": "optimized geometry",
  "de_polymorph_ev_per_atom": 2.391,
  "final_energy_ev_per_atom": -4.67,
  "vol_a3_per_atom": 22.131,
  "total_magnetization_mub_per_fu": 0.3,
  "lattice_angstrom": [[5.2364, 0.0000, 0.0000], [0.0000, 5.2364, 0.0000], [0.0000, 0.0000, 4.0357]],
  "species": ["O", "P", "P", "Ta", "Sr"],
  "fractional_positions": [[0.0000, 0.0000, 0.5000], [0.0000, 0.5000, 0.0000], [0.5000, 0.0000, 0.0000], [0.5000, 0.5000, 0.5000], [0.0000, 0.0000, 0.0000]]
}